Entry 1:
DFT (PBE) results for a geometry-optimized MgH4Ir5 structure.

Calculated values
The total energy is -5.854 eV/atom. As for the magnetic moment: 0.00 Bohr magnetons per cell. The value obtained for the offset from the most stable computed form is 0.000 eV per atom.

a = 4.8111 Å, b = 4.8884 Å, c = 4.8007 Å
α = 100.78°, β = 81.23°, γ = 80.87°
Fractional positions:
H: 0.5101 0.1805 0.2452
Ir: 0.9706 0.6544 0.5013
H: 0.2872 0.0815 0.6850
H: 0.0745 0.3216 0.5658
Ir: 0.8240 0.9269 0.0747
Ir: 0.0878 0.3884 0.9424
Ir: 0.5328 0.5395 0.2330
Mg: 0.6679 0.2172 0.6496
Ir: 0.3866 0.7764 0.8082
H: 0.0290 0.9522 0.3450

***

Entry 2:
DFT (PBE) results for a geometry-optimized Mg2H3Ir2 structure.

Calculated values
The total energy is -4.697 eV/atom. As for the magnetic moment: 0.00 Bohr magnetons per cell. The value obtained for the offset from the most stable computed form is 0.020 eV per atom.

a = 3.5185 Å, b = 4.5266 Å, c = 6.2656 Å
α = 133.99°, β = 89.99°, γ = 90.00°
Fractional positions:
Ir: 0.7600 0.4673 0.7458
Mg: 0.2603 0.9329 0.2304
Mg: 0.2606 0.9317 0.7264
H: 0.7597 0.9321 0.4783
Ir: 0.7600 0.3969 0.2109
H: 0.2599 0.4038 0.2135
H: 0.2599 0.4599 0.7428

***

Entry 3:
DFT (PBE) results for a geometry-optimized Mg2H7Ir2 structure.

Calculated values
The total energy is -4.179 eV/atom. As for the magnetic moment: 0.00 Bohr magnetons per cell.

a = 6.2812 Å, b = 6.2812 Å, c = 7.7536 Å
α = 113.40°, β = 113.40°, γ = 106.00°
Fractional positions:
H: 0.2445 0.4391 0.4533
H: 0.0284 0.5438 0.7658
H: 0.0249 0.2093 0.6241
H: 0.9751 0.7907 0.3759
H: 0.4391 0.2445 0.9533
H: 0.8399 0.1601 0.2500
H: 0.5609 0.7555 0.0467
H: 0.7555 0.5609 0.5467
Mg: 0.4793 0.2438 0.4972
Ir: 0.2353 0.0640 0.6741
Mg: 0.2438 0.4793 0.9972
H: 0.5438 0.0284 0.2658
Ir: 0.0640 0.2353 0.1741
Mg: 0.5207 0.7562 0.5028
H: 0.4562 0.9716 0.7342
Ir: 0.7647 0.9360 0.3259
H: 0.2093 0.0249 0.1241
H: 0.7907 0.9751 0.8759
H: 0.1601 0.8399 0.7500
H: 0.9716 0.4562 0.2342
Mg: 0.7562 0.5207 0.0028
Ir: 0.9360 0.7647 0.8259

***

Entry 4:
DFT (PBE) results for a geometry-optimized Mg3H9Ir2 structure.

Calculated values
The total energy is -3.956 eV/atom. As for the magnetic moment: 0.00 Bohr magnetons per cell.

a = 6.6361 Å, b = 6.6361 Å, c = 6.6361 Å
α = 71.26°, β = 71.26°, γ = 71.26°
Fractional positions:
H: 0.5852 0.4142 0.2469
H: 0.9088 0.7500 0.5912
H: 0.2500 0.4088 0.0912
H: 0.0912 0.2500 0.4088
Mg: 0.7500 0.0803 0.4197
H: 0.2531 0.0858 0.9148
H: 0.0852 0.7469 0.9142
Mg: 0.4197 0.7500 0.0803
Ir: 0.6543 0.6543 0.6543
Mg: 0.0803 0.4197 0.7500
H: 0.0858 0.9148 0.2531
H: 0.2469 0.5852 0.4142
Mg: 0.5803 0.2500 0.9197
H: 0.7469 0.9142 0.0852
H: 0.7500 0.5912 0.9088
H: 0.4148 0.5858 0.7531
H: 0.9142 0.0852 0.7469
Ir: 0.8457 0.8457 0.8457
H: 0.9148 0.2531 0.0858
Ir: 0.1543 0.1543 0.1543
H: 0.4142 0.2469 0.5852
H: 0.5858 0.7531 0.4148
Mg: 0.2500 0.9197 0.5803
H: 0.5912 0.9088 0.7500
H: 0.7531 0.4148 0.5858
Ir: 0.3457 0.3457 0.3457
Mg: 0.9197 0.5803 0.2500
H: 0.4088 0.0912 0.2500